A plane-wave DFT calculation with GGA-PBE was carried out for crystalline RbCr2Co at its relaxed geometry.

The crystal system is cubic. For the energy above the most stable polymorph in this dataset, the calculation gives 711.6 meV/atom. The magnetization is 0.00 μB per formula unit. As for the space group: Fm-3m, No. 225.

abc: 4.3719 4.3719 4.3719
angles: 60.00 60.00 60.00
Last column: nearest neighbours and their distance in Å.
Sites, in units of the cell vectors:
Cr  0.2500  0.2500  0.2500  4 Co 2.68, 4 Rb 2.68
Cr  0.7500  0.7500  0.7500  4 Co 2.68, 4 Rb 2.68
Co  0.0000  0.0000  0.0000  8 Cr 2.68
Rb  0.5000  0.5000  0.5000  8 Cr 2.68